Material: LiCeIn2
Method: DFT, PBE-GGA
State: relaxed

abc: 5.140 5.140 3.964
angles: 90.00 90.00 90.00
Fractional coordinates of all 4 atoms:
Li  0.000  0.000  0.000
Ce  0.500  0.500  0.000
In  0.000  0.500  0.500
In  0.500  0.000  0.500

Summary:
**Calculated total energy**: -3.59 eV per atom
**Volume**: 26.18 Å³ per atom
**Space group**: P4/mmm


Material: LiCe2In8
Method: DFT, PBE-GGA
State: relaxed

abc: 4.748 4.748 12.369
angles: 90.00 90.00 90.00
Fractional coordinates of all 11 atoms:
Li  0.000  0.000  0.000
Ce  0.000  0.000  0.311
Ce  0.000  0.000  0.689
In  0.000  0.500  0.126
In  0.000  0.500  0.500
In  0.000  0.500  0.874
In  0.500  0.000  0.126
In  0.500  0.000  0.500
In  0.500  0.000  0.874
In  0.500  0.500  0.310
In  0.500  0.500  0.690

Summary:
**Calculated total energy**: -3.58 eV per atom
**Volume**: 25.35 Å³ per atom
**Space group**: P4/mmm


Material: Li2Ce2MgIn5
Method: DFT, PBE-GGA
State: relaxed

abc: 10.269 10.269 4.444
angles: 90.00 90.00 90.00
Fractional coordinates of all 20 atoms:
Li  0.112  0.388  0.000
Li  0.388  0.888  0.000
Li  0.612  0.112  0.000
Li  0.888  0.612  0.000
Ce  0.182  0.682  0.000
Ce  0.318  0.182  0.000
Ce  0.682  0.818  0.000
Ce  0.818  0.318  0.000
Mg  0.000  0.000  0.000
Mg  0.500  0.500  0.000
In  0.000  0.500  0.500
In  0.063  0.207  0.500
In  0.207  0.937  0.500
In  0.293  0.437  0.500
In  0.437  0.707  0.500
In  0.500  0.000  0.500
In  0.563  0.293  0.500
In  0.707  0.563  0.500
In  0.793  0.063  0.500
In  0.937  0.793  0.500

Summary:
**Calculated total energy**: -3.40 eV per atom
**Volume**: 23.43 Å³ per atom
**Space group**: P4/mbm


Material: LiCeMgIn2
Method: DFT, PBE-GGA
State: relaxed

abc: 5.672 6.560 6.577
angles: 90.00 90.00 90.00
Fractional coordinates of all 10 atoms:
Li  0.000  0.000  0.000
Li  0.500  0.000  0.000
Ce  0.250  0.500  0.202
Ce  0.750  0.500  0.798
Mg  0.250  0.000  0.361
Mg  0.750  0.000  0.639
In  0.250  0.261  0.718
In  0.250  0.739  0.718
In  0.750  0.261  0.282
In  0.750  0.739  0.282

Summary:
**Calculated total energy**: -3.15 eV per atom
**Volume**: 24.47 Å³ per atom
**Space group**: Pmma


Material: Li2CeMg2In2
Method: DFT, PBE-GGA
State: relaxed

abc: 8.656 8.656 8.656
angles: 32.36 32.36 32.36
Fractional coordinates of all 7 atoms:
Li  0.075  0.075  0.075
Li  0.925  0.925  0.925
Ce  0.500  0.500  0.500
Mg  0.364  0.364  0.364
Mg  0.636  0.636  0.636
In  0.240  0.240  0.240
In  0.760  0.760  0.760

Summary:
**Calculated total energy**: -2.85 eV per atom
**Volume**: 23.59 Å³ per atom
**Space group**: R-3m


Material: LiCeMg2In4
Method: DFT, PBE-GGA
State: relaxed

abc: 9.164 9.164 9.164
angles: 31.93 31.93 31.93
Fractional coordinates of all 8 atoms:
Li  0.000  0.000  0.000
Ce  0.500  0.500  0.500
Mg  0.250  0.250  0.250
Mg  0.750  0.750  0.750
In  0.114  0.114  0.114
In  0.370  0.370  0.370
In  0.630  0.630  0.630
In  0.886  0.886  0.886

Summary:
**Calculated total energy**: -3.00 eV per atom
**Volume**: 23.90 Å³ per atom
**Space group**: R-3m